1.
A plane-wave DFT calculation with PBEsol was carried out for a relaxed structure of LaErSe2.

The structure in CIF format:
```
data_LaErSe2
_cell_length_a 4.0513
_cell_length_b 4.0513
_cell_length_c 20.7571
_cell_angle_alpha 90.00
_cell_angle_beta 90.00
_cell_angle_gamma 120.00
_space_group_name_H-M_alt 'R -3 m'
_space_group_IT_number 166
_space_group_name_Hall '-R 3 2"'
loop_
_atom_site_label
_atom_site_fract_x
_atom_site_fract_y
_atom_site_fract_z
La1 0.0000 0.0000 0.0000
Er1 0.0000 0.0000 0.5000
Se1 0.0000 0.0000 0.2423
```

Results
total moment	0.00	μB per formula unit
volume	24.587	Å³ per atom
energy	-6.40	eV/atom

2.
A plane-wave DFT calculation with PBEsol was carried out for a relaxed structure of LaErTl2.

The structure in CIF format:
```
data_LaErTl2
_cell_length_a 7.6127
_cell_length_b 7.6127
_cell_length_c 7.6127
_cell_angle_alpha 90.00
_cell_angle_beta 90.00
_cell_angle_gamma 90.00
_space_group_name_H-M_alt 'F m -3 m'
_space_group_IT_number 225
_space_group_name_Hall '-F 4 2 3'
loop_
_atom_site_label
_atom_site_fract_x
_atom_site_fract_y
_atom_site_fract_z
La1 0.0000 0.0000 0.0000
Er1 0.0000 0.0000 0.5000
Tl1 0.2500 0.2500 0.2500
```

Results
formation energy	-0.425	eV per atom
total moment	0.00	μB per formula unit
volume	27.574	Å³ per atom
energy	-4.31	eV/atom

3.
A plane-wave DFT calculation with PBEsol was carried out for a relaxed structure of LiErO2.

The structure in CIF format:
```
data_LiErO2
_cell_length_a 4.3695
_cell_length_b 4.3695
_cell_length_c 10.1389
_cell_angle_alpha 90.00
_cell_angle_beta 90.00
_cell_angle_gamma 90.00
_space_group_name_H-M_alt 'I 41/a m d'
_space_group_IT_number 141
loop_
_space_group_symop_operation_xyz
'x,y,z'
'-x,-y,-z'
'-y+1/4,x+3/4,z+1/4'
'y+1/4,-x+3/4,-z+1/4'
'-x+1/2,-y,z+1/2'
'x+1/2,y,-z+1/2'
'y+1/4,-x+1/4,z+3/4'
'-y+1/4,x+1/4,-z+3/4'
'x,-y,-z'
'-x,y,z'
'-y+1/4,-x+1/4,-z+3/4'
'y+1/4,x+1/4,z+3/4'
'-x+1/2,y,-z+1/2'
'x+1/2,-y,z+1/2'
'y+1/4,x+3/4,-z+1/4'
'-y+1/4,-x+3/4,z+1/4'
'x+1/2,y+1/2,z+1/2'
'-x+1/2,-y+1/2,-z+1/2'
'-y+3/4,x+1/4,z+3/4'
'y+3/4,-x+1/4,-z+3/4'
'-x,-y+1/2,z'
'x,y+1/2,-z'
'y+3/4,-x+3/4,z+1/4'
'-y+3/4,x+3/4,-z+1/4'
'x+1/2,-y+1/2,-z+1/2'
'-x+1/2,y+1/2,z+1/2'
'-y+3/4,-x+3/4,-z+1/4'
'y+3/4,x+3/4,z+1/4'
'-x,y+1/2,-z'
'x,-y+1/2,z'
'y+3/4,x+1/4,-z+3/4'
'-y+3/4,-x+1/4,z+3/4'
loop_
_atom_site_label
_atom_site_fract_x
_atom_site_fract_y
_atom_site_fract_z
Li1 0.0000 0.2500 0.3750
Er1 0.0000 0.2500 0.8750
O1 0.0000 0.2500 0.0979
```

Results
total moment	0.00	μB per formula unit
volume	12.098	Å³ per atom
energy	-7.36	eV/atom

4.
A plane-wave DFT calculation with PBEsol was carried out for a relaxed structure of LiErO2.

The structure in CIF format:
```
data_LiErO2
_cell_length_a 6.0226
_cell_length_b 6.0984
_cell_length_c 6.0893
_cell_angle_alpha 90.00
_cell_angle_beta 118.62
_cell_angle_gamma 90.00
_space_group_name_H-M_alt 'P 1 21/c 1'
_space_group_IT_number 14
loop_
_space_group_symop_operation_xyz
'x,y,z'
'-x,-y,-z'
'-x,y+1/2,-z+1/2'
'x,-y+1/2,z+1/2'
loop_
_atom_site_label
_atom_site_fract_x
_atom_site_fract_y
_atom_site_fract_z
Li1 0.2179 0.1497 0.4501
Er1 0.2623 0.6291 0.5161
O1 0.0423 0.6114 0.7349
O2 0.4953 0.1634 0.1692
```

Results
total moment	0.00	μB per formula unit
volume	12.270	Å³ per atom
energy	-7.36	eV/atom

5.
A plane-wave DFT calculation with PBEsol was carried out for a relaxed structure of LiErP4O12.

The structure in CIF format:
```
data_LiErP4O12
_cell_length_a 16.2609
_cell_length_b 7.0220
_cell_length_c 9.5948
_cell_angle_alpha 90.00
_cell_angle_beta 125.60
_cell_angle_gamma 90.00
_space_group_name_H-M_alt 'C 1 2/c 1'
_space_group_IT_number 15
loop_
_space_group_symop_operation_xyz
'x,y,z'
'-x,-y,-z'
'-x,y,-z+1/2'
'x,-y,z+1/2'
'x+1/2,y+1/2,z'
'-x+1/2,-y+1/2,-z'
'-x+1/2,y+1/2,-z+1/2'
'x+1/2,-y+1/2,z+1/2'
loop_
_atom_site_label
_atom_site_fract_x
_atom_site_fract_y
_atom_site_fract_z
Li1 0.0000 0.0000 0.0000
Er1 0.0000 0.2268 0.2500
P1 0.1319 0.4450 0.6557
P2 0.1498 0.1625 0.0882
O1 0.0641 0.4876 0.2023
O2 0.0791 0.0748 0.9147
O3 0.1023 0.2761 0.5393
O4 0.1170 0.1230 0.2046
O5 0.1598 0.3870 0.0752
O6 0.2389 0.4064 0.8347
```

Results
total moment	0.00	μB per formula unit
volume	12.372	Å³ per atom
energy	-7.59	eV/atom

6.
A plane-wave DFT calculation with PBEsol was carried out for a relaxed structure of LiEr2Os.

The structure in CIF format:
```
data_LiEr2Os
_cell_length_a 6.7643
_cell_length_b 6.7643
_cell_length_c 6.7643
_cell_angle_alpha 90.00
_cell_angle_beta 90.00
_cell_angle_gamma 90.00
_space_group_name_H-M_alt 'F m -3 m'
_space_group_IT_number 225
_space_group_name_Hall '-F 4 2 3'
loop_
_atom_site_label
_atom_site_fract_x
_atom_site_fract_y
_atom_site_fract_z
Li1 0.0000 0.0000 0.0000
Er1 0.2500 0.2500 0.2500
Os1 0.0000 0.0000 0.5000
```

Results
formation energy	-0.264	eV per atom
total moment	0.00	μB per formula unit
volume	19.344	Å³ per atom
energy	-6.27	eV/atom